Entry from Alexandria: a relaxed CoSe2BrO crystal (PBE+U).

Summary:
total magnetic moment	5.73	μB/cell
final energy	-14.48	eV for the cell shown
energy above the lowest structure with this stoichiometry	371	meV/atom

Cell lengths 4.657, 4.657, 5.380 Å; angles 90.00, 90.00, 90.00 degrees
Atoms (fractional coordinates):
Co: 0.000 0.000 0.000
Se: 0.000 0.500 0.000
Se: 0.500 0.000 0.000
Br: 0.000 0.000 0.500
O: 0.500 0.500 0.500